Record 1
{"formula": "NaMgZrCd2", "functional": "GGA-PBE", "state": "optimized geometry", "cell": [[-0.132, -2.323, -4.385], [4.854, 0.309, -0.310], [0.425, -4.376, 2.306]], "species": ["Na", "Mg", "Zr", "Cd", "Cd"], "frac_coords": [[0.000, 0.000, 0.000], [0.000, 0.500, 0.000], [0.500, 0.500, 0.500], [0.000, 0.000, 0.500], [0.500, 0.000, 0.000]], "magnetic_moment_mub_per_cell": 0.0, "formation_energy_ev_per_atom": 0.72, "crystal_system": "tetragonal"}

Record 2
{"formula": "Mg14NbCd", "functional": "GGA-PBE", "state": "optimized geometry", "cell": [[3.152, -5.459, 0.000], [3.152, 5.459, 0.000], [0.000, 0.000, 10.168]], "species": ["Mg", "Mg", "Mg", "Mg", "Mg", "Mg", "Mg", "Mg", "Mg", "Mg", "Mg", "Mg", "Mg", "Mg", "Nb", "Cd"], "frac_coords": [[0.003, 0.501, 0.000], [0.000, 0.500, 0.500], [0.499, 0.997, 0.000], [0.500, 0.000, 0.500], [0.499, 0.501, 0.000], [0.500, 0.500, 0.500], [0.161, 0.839, 0.244], [0.161, 0.839, 0.756], [0.161, 0.322, 0.244], [0.161, 0.322, 0.756], [0.678, 0.839, 0.244], [0.678, 0.839, 0.756], [0.667, 0.333, 0.246], [0.667, 0.333, 0.754], [0.000, 0.000, 0.000], [0.000, 0.000, 0.500]], "magnetic_moment_mub_per_cell": 0.0, "formation_energy_ev_per_atom": 0.04, "crystal_system": "hexagonal", "relative_energy_ev_per_fu": 0.00}

Record 3
{"formula": "MgNbCd2", "functional": "GGA-PBE", "state": "optimized geometry", "cell": [[-2.239, 0.814, 1.838], [-0.122, -1.095, 2.800], [5.149, 8.268, 5.075]], "species": ["Nb", "Mg", "Cd", "Cd"], "frac_coords": [[0.000, 0.000, 0.000], [0.500, 0.500, 0.500], [0.089, 0.089, 0.733], [0.911, 0.911, 0.267]], "magnetic_moment_mub_per_cell": 0.0, "formation_energy_ev_per_atom": 0.37, "crystal_system": "trigonal"}

Record 4
{"formula": "Mg14NbCd", "functional": "GGA-PBE", "state": "optimized geometry", "cell": [[-3.904, -2.313, 4.396], [0.492, -2.863, -5.610], [7.496, -5.788, 3.611]], "species": ["Mg", "Mg", "Mg", "Mg", "Mg", "Mg", "Mg", "Mg", "Mg", "Mg", "Mg", "Mg", "Mg", "Mg", "Nb", "Cd"], "frac_coords": [[0.834, 0.166, 0.000], [0.334, 0.666, 0.000], [0.335, 0.169, 0.500], [0.334, 0.168, 0.000], [0.831, 0.665, 0.500], [0.832, 0.666, 0.000], [0.158, 0.329, 0.258], [0.158, 0.329, 0.742], [0.671, 0.842, 0.258], [0.671, 0.842, 0.742], [0.672, 0.328, 0.256], [0.672, 0.328, 0.744], [0.167, 0.833, 0.253], [0.167, 0.833, 0.747], [0.832, 0.168, 0.500], [0.334, 0.666, 0.500]], "magnetic_moment_mub_per_cell": 0.0, "formation_energy_ev_per_atom": 0.05, "crystal_system": "orthorhombic", "relative_energy_ev_per_fu": 0.08}

Record 5
{"formula": "MgNb3Cd", "functional": "GGA-PBE", "state": "optimized geometry", "cell": [[4.782, 0.000, 0.000], [0.000, 4.782, 0.000], [0.000, 0.000, 4.782]], "species": ["Nb", "Nb", "Nb", "Mg", "Cd"], "frac_coords": [[0.000, 0.500, 0.000], [0.000, 0.000, 0.500], [0.500, 0.000, 0.000], [0.000, 0.000, 0.000], [0.500, 0.500, 0.500]], "magnetic_moment_mub_per_cell": 0.0, "formation_energy_ev_per_atom": 1.54, "crystal_system": "cubic", "relative_energy_ev_per_fu": 0.00}

Record 6
{"formula": "Mg2NbCd", "functional": "GGA-PBE", "state": "optimized geometry", "cell": [[3.004, 0.000, 0.000], [1.502, 2.601, 0.000], [1.502, 0.867, 10.739]], "species": ["Nb", "Mg", "Mg", "Cd"], "frac_coords": [[0.000, 0.000, 0.000], [0.089, 0.089, 0.734], [0.911, 0.911, 0.266], [0.500, 0.500, 0.500]], "magnetic_moment_mub_per_cell": 0.0, "formation_energy_ev_per_atom": 0.36, "crystal_system": "trigonal"}

Record 7
{"formula": "MgNbCd2", "functional": "GGA-PBE", "state": "optimized geometry", "cell": [[2.980, 0.000, 0.000], [0.000, 2.980, 0.000], [0.000, 0.000, 8.965]], "species": ["Nb", "Mg", "Cd", "Cd"], "frac_coords": [[0.500, 0.500, 0.500], [0.500, 0.500, 0.000], [0.000, 0.000, 0.748], [0.000, 0.000, 0.252]], "magnetic_moment_mub_per_cell": 0.0, "formation_energy_ev_per_atom": 0.07, "crystal_system": "tetragonal"}

Record 8
{"formula": "MgNbCd2", "functional": "GGA-PBE", "state": "optimized geometry", "cell": [[4.208, 0.000, 0.000], [0.000, 4.331, 0.000], [0.000, 0.000, 4.331]], "species": ["Nb", "Mg", "Cd", "Cd"], "frac_coords": [[0.500, 0.500, 0.500], [0.500, 0.000, 0.000], [0.000, 0.000, 0.500], [0.000, 0.500, 0.000]], "magnetic_moment_mub_per_cell": 0.0, "formation_energy_ev_per_atom": 0.10, "crystal_system": "tetragonal"}

Record 9
{"formula": "Mg2NbCd", "functional": "GGA-PBE", "state": "optimized geometry", "cell": [[-1.131, 7.427, 1.542], [-7.230, -0.584, -2.492], [-5.058, 2.725, 2.235]], "species": ["Nb", "Nb", "Mg", "Mg", "Mg", "Mg", "Cd", "Cd"], "frac_coords": [[0.500, 0.500, 0.000], [0.250, 0.750, 0.500], [0.639, 0.125, 0.250], [0.111, 0.625, 0.250], [0.375, 0.361, 0.750], [0.875, 0.889, 0.750], [0.000, 0.000, 0.000], [0.750, 0.250, 0.500]], "magnetic_moment_mub_per_cell": 2.0, "formation_energy_ev_per_atom": 0.58, "crystal_system": "tetragonal"}

Record 10
{"formula": "MgNbCd2", "functional": "GGA-PBE", "state": "optimized geometry", "cell": [[-0.931, -7.500, -1.197], [1.986, 0.923, -7.332], [3.384, -3.757, -3.549]], "species": ["Nb", "Nb", "Mg", "Mg", "Cd", "Cd", "Cd", "Cd"], "frac_coords": [[0.000, 0.000, 0.000], [0.750, 0.250, 0.500], [0.500, 0.500, 0.000], [0.250, 0.750, 0.500], [0.617, 0.125, 0.250], [0.133, 0.625, 0.250], [0.375, 0.383, 0.750], [0.875, 0.867, 0.750]], "magnetic_moment_mub_per_cell": 1.9, "formation_energy_ev_per_atom": 0.54, "crystal_system": "tetragonal"}

Record 11
{"formula": "Mg6NbCdO8", "functional": "GGA-PBE", "state": "optimized geometry", "cell": [[-2.225, -3.820, -0.058], [2.565, -1.443, -3.299], [5.757, -3.444, 5.981]], "species": ["Mg", "Mg", "Mg", "Mg", "Mg", "Mg", "Nb", "Cd", "O", "O", "O", "O", "O", "O", "O", "O"], "frac_coords": [[0.500, 0.500, 0.000], [0.500, 0.500, 0.500], [0.000, 0.500, 0.253], [0.000, 0.500, 0.747], [0.500, 0.000, 0.253], [0.500, 0.000, 0.747], [0.000, 0.000, 0.000], [0.000, 0.000, 0.500], [0.000, 0.000, 0.242], [0.000, 0.000, 0.758], [0.500, 0.500, 0.248], [0.500, 0.500, 0.752], [0.000, 0.500, 0.000], [0.000, 0.500, 0.500], [0.500, 0.000, 0.000], [0.500, 0.000, 0.500]], "magnetic_moment_mub_per_cell": 2.4, "formation_energy_uncorrected_mev_per_atom": -2141, "crystal_system": "tetragonal", "relative_energy_ev_per_fu": 0.26}

Record 12
{"formula": "Mg6NbCdO8", "functional": "GGA-PBE", "state": "optimized geometry", "cell": [[4.448, 0.000, 0.000], [0.000, 4.448, 0.000], [0.000, 0.000, 8.816]], "species": ["Mg", "Mg", "Mg", "Mg", "Mg", "Mg", "Nb", "Cd", "O", "O", "O", "O", "O", "O", "O", "O"], "frac_coords": [[0.000, 0.000, 0.500], [0.500, 0.500, 0.500], [0.000, 0.500, 0.262], [0.000, 0.500, 0.738], [0.500, 0.000, 0.262], [0.500, 0.000, 0.738], [0.000, 0.000, 0.000], [0.500, 0.500, 0.000], [0.000, 0.000, 0.260], [0.000, 0.000, 0.740], [0.500, 0.500, 0.270], [0.500, 0.500, 0.730], [0.000, 0.500, 0.000], [0.000, 0.500, 0.500], [0.500, 0.000, 0.000], [0.500, 0.000, 0.500]], "magnetic_moment_mub_per_cell": 2.7, "formation_energy_uncorrected_mev_per_atom": -2157, "crystal_system": "tetragonal", "relative_energy_ev_per_fu": 0.00}